1.
## SbPIN2 (SCAN)

Data for SbPIN2 at its PBEsol-relaxed geometry.

- energy relative to the elements, uncorrected (eV per atom) = 1.4161
- DOS at the Fermi energy (states/eV/f.u.) = 1.89

Lattice parameters (Å, degrees): 3.900 3.900 5.418 90.00 90.00 90.00
Space group P4/mmm (No. 123)
Symmetry-distinct sites (fractional):
Sb  0.000  0.000  0.000 (multiplicity 1)
P  0.000  0.000  0.500 (multiplicity 1)
I  0.500  0.500  0.000 (multiplicity 1)
N  0.000  0.500  0.500 (multiplicity 2)

=====

2.
## SbPI2N (SCAN)

Data for SbPI2N at its PBEsol-relaxed geometry.

- energy relative to the elements, uncorrected (eV per atom) = 0.6826
- DOS at the Fermi energy (states/eV/f.u.) = 2.82

Lattice parameters (Å, degrees): 5.792 5.792 3.418 90.00 90.00 90.00
Space group P4/mmm (No. 123)
Symmetry-distinct sites (fractional):
Sb  0.000  0.000  0.000 (multiplicity 1)
P  0.500  0.500  0.500 (multiplicity 1)
I  0.000  0.500  0.500 (multiplicity 2)
N  0.500  0.500  0.000 (multiplicity 1)

=====

3.
## SbPIN2 (SCAN)

Data for SbPIN2 at its PBEsol-relaxed geometry.

- energy relative to the elements, uncorrected (eV per atom) = 1.5568
- DOS at the Fermi energy (states/eV/f.u.) = 0.68

Lattice parameters (Å, degrees): 3.984 3.984 6.665 90.00 90.00 90.00
Space group P4/mmm (No. 123)
Symmetry-distinct sites (fractional):
Sb  0.000  0.000  0.000 (multiplicity 1)
P  0.500  0.500  0.500 (multiplicity 1)
I  0.000  0.000  0.500 (multiplicity 1)
N  0.000  0.500  0.000 (multiplicity 2)

=====

The evaluated E_tot for the records listed, in turn: -19.181, -25.404, -19.040 eV per atom.